Entry 1:
VASP calculation (PBE) on a relaxed structure of MgTc2As.

```
MgTc2As
1.0
4.877 0.006 0.000
3.903 2.924 0.000
1.370 0.457 4.254
Tc As Mg
2 1 1
Cartesian
0.110 0.037 0.124 Tc
7.575 2.528 3.043 Tc
5.020 1.675 2.271 As
2.520 0.841 0.943 Mg
```

Values from the calculation:
**Total DFT energy (no corrections)**: -6.642 eV per atom
**Offset from the most stable computed form**: 0.52 eV per formula unit
**Calculated volume**: 15.14 Å³ per atom
**Magnetization**: 0.001 μB/cell

Entry 2:
VASP calculation (PBE) on a relaxed structure of MgTcAs2.

```
MgTcAs2
1.0
-4.364 -0.287 0.440
-3.270 -2.230 -1.912
-0.665 -4.913 3.748
As Mg Tc
2 1 1
Cartesian
-7.910 -6.881 2.004 As
-2.362 -3.115 1.474 As
-4.687 -2.859 0.182 Mg
-5.790 -5.721 2.032 Tc
```

Values from the calculation:
**Total DFT energy (no corrections)**: -5.473 eV per atom
**Calculated volume**: 20.00 Å³ per atom
**Magnetization**: 0.000 μB/cell

Entry 3:
VASP calculation (PBE) on a relaxed structure of MgTcAs2.

```
MgTcAs2
1.0
-1.664 2.838 0.364
-1.708 -1.324 2.507
4.328 2.022 4.018
As Tc Mg
2 1 1
Cartesian
4.102 1.916 3.808 As
-0.538 1.293 2.501 As
1.723 2.349 4.600 Tc
2.162 1.010 2.007 Mg
```

Values from the calculation:
**Total DFT energy (no corrections)**: -5.349 eV per atom
**Calculated volume**: 17.09 Å³ per atom
**Magnetization**: 0.000 μB/cell

Entry 4:
VASP calculation (PBE) on a relaxed structure of MgTcAs2.

```
MgTcAs2
1.0
5.953 0.000 0.000
0.000 5.953 0.000
2.977 2.977 5.595
Tc Mg As
2 2 4
Cartesian
5.953 2.977 2.797 Tc
0.000 0.000 0.000 Tc
2.977 2.977 0.000 Mg
2.977 5.953 2.797 Mg
4.465 4.203 4.196 As
7.441 7.703 4.196 As
1.226 4.465 1.399 As
4.727 1.488 1.399 As
```

Values from the calculation:
**Total DFT energy (no corrections)**: -5.268 eV per atom
**Calculated volume**: 24.79 Å³ per atom
**Magnetization**: 0.000 μB/cell

Number 1: calculated formation energy 0.102 eV/atom. Number 2: calculated formation energy -0.158 eV/atom. Number 3: calculated formation energy -0.035 eV/atom. Number 4: calculated formation energy 0.047 eV/atom.